Record 1
A plane-wave DFT calculation with PBE was carried out for a relaxed Co5RuSe12 crystal.

## Properties
Crystal system: monoclinic
Calculated total energy, eV/atom: -5.06
Space group: C2/m, No. 12

Cell and atoms, written as POSCAR:
```
Co5RuSe12
1.0
3.1853 -4.9737 0.0000
3.1853 4.9737 0.0000
-0.2186 0.0000 10.9595
Co Ru Se
5 1 12
Direct
0.0000 0.0000 0.0000
0.1861 0.8139 0.5000
0.3268 0.6732 0.0000
0.6732 0.3268 0.0000
0.8139 0.1861 0.5000
0.5000 0.5000 0.5000
0.0220 0.3526 0.1152
0.1370 0.4790 0.6251
0.1552 0.1552 0.3885
0.3173 0.3173 0.8900
0.3526 0.0220 0.1152
0.4790 0.1370 0.6251
0.5210 0.8630 0.3749
0.6474 0.9780 0.8848
0.6827 0.6827 0.1100
0.8448 0.8448 0.6115
0.8630 0.5210 0.3749
0.9780 0.6474 0.8848
```

Record 2
A plane-wave DFT calculation with PBE was carried out for a relaxed La12Tm2Th crystal.

## Properties
Crystal system: monoclinic
Calculated total energy, eV/atom: -4.94
Space group: C2/m, No. 12

Cell and atoms, written as POSCAR:
```
La12Tm2Th
1.0
3.6022 -5.8621 0.0000
3.6022 5.8621 0.0000
-3.1702 0.0000 25.2456
La Tm Th
24 4 2
Direct
0.0298 0.5979 0.1998
0.0789 0.5356 0.3242
0.1247 0.6647 0.5555
0.1621 0.1621 0.5833
0.1720 0.1720 0.1626
0.2072 0.7776 0.9334
0.2224 0.7928 0.0666
0.3353 0.8753 0.4445
0.3863 0.3863 0.4241
0.3945 0.3945 0.8800
0.4021 0.9702 0.8002
0.4644 0.9211 0.6758
0.5356 0.0789 0.3242
0.5979 0.0298 0.1998
0.6055 0.6055 0.1200
0.6137 0.6137 0.5759
0.6647 0.1247 0.5555
0.7776 0.2072 0.9334
0.7928 0.2224 0.0666
0.8280 0.8280 0.8374
0.8379 0.8379 0.4167
0.8753 0.3353 0.4445
0.9211 0.4644 0.6758
0.9702 0.4021 0.8002
0.0390 0.0390 0.2932
0.4510 0.4510 0.7272
0.5490 0.5490 0.2728
0.9610 0.9610 0.7068
0.2702 0.2702 0.0037
0.7298 0.7298 0.9963
```

Record 3
A plane-wave DFT calculation with PBE was carried out for a relaxed CeInIr crystal.

## Properties
Crystal system: orthorhombic
Calculated total energy, eV/atom: -6.50
Space group: Pmma, No. 51

Cell and atoms, written as POSCAR:
```
CeInIr
1.0
13.2120 0.0000 0.0000
0.0000 3.9312 0.0000
0.0000 0.0000 7.8037
Ce In Ir
6 6 6
Direct
0.0445 0.0000 0.2194
0.2500 0.0000 0.8431
0.4555 0.0000 0.2194
0.5445 0.0000 0.7806
0.7500 0.0000 0.1569
0.9555 0.0000 0.7806
0.1181 0.5000 0.5598
0.2500 0.5000 0.1887
0.3819 0.5000 0.5598
0.6181 0.5000 0.4402
0.7500 0.5000 0.8113
0.8819 0.5000 0.4402
0.1001 0.5000 0.9235
0.2500 0.0000 0.4361
0.3999 0.5000 0.9235
0.6001 0.5000 0.0765
0.7500 0.0000 0.5639
0.8999 0.5000 0.0765
```

Record 4
A plane-wave DFT calculation with PBE was carried out for a relaxed ScCdGa2 crystal.

## Properties
Crystal system: tetragonal
Calculated total energy, eV/atom: -3.72
Space group: P4/mmm, No. 123

Cell and atoms, written as POSCAR:
```
ScCdGa2
1.0
4.2638 0.0000 0.0000
0.0000 4.2638 0.0000
0.0000 0.0000 4.1292
Sc Cd Ga
1 1 2
Direct
0.0000 0.0000 0.0000
0.5000 0.5000 0.0000
0.0000 0.5000 0.5000
0.5000 0.0000 0.5000
```

Record 5
A plane-wave DFT calculation with PBE was carried out for a relaxed FeOsRu crystal.

## Properties
Excess energy over the best structure of this formula in the dataset, kJ/mol of formula units: 98
Crystal system: orthorhombic
Calculated total energy, eV/atom: -9.20
Space group: Fdd2, No. 43

Cell and atoms, written as POSCAR:
```
FeOsRu
1.0
0.0000 4.9388 3.9159
4.3172 0.0000 3.9159
4.3172 4.9388 0.0000
Fe Os Ru
4 4 4
Direct
0.0817 0.9183 0.3037
0.5537 0.9463 0.3317
0.9183 0.0817 0.6963
0.9463 0.5537 0.1683
0.2534 0.4078 0.3541
0.2653 0.8959 0.8422
0.4078 0.2534 0.9847
0.8959 0.2653 0.9966
0.1983 0.6275 0.6682
0.5818 0.7441 0.0517
0.6275 0.1983 0.5059
0.7441 0.5818 0.6225
```

Record 6
A plane-wave DFT calculation with PBE was carried out for a relaxed RbGaAg2 crystal.

## Properties
Excess energy over the best structure of this formula in the dataset, kJ/mol of formula units: 0
Crystal system: orthorhombic
Calculated total energy, eV/atom: -2.46
Space group: Pmmn, No. 59

Cell and atoms, written as POSCAR:
```
RbGaAg2
1.0
4.6257 0.0000 0.0000
0.0000 7.5850 0.0000
0.0000 0.0000 6.8087
Rb Ga Ag
2 2 4
Direct
0.2500 0.2500 0.1060
0.7500 0.7500 0.8940
0.2500 0.7500 0.3967
0.7500 0.2500 0.6033
0.2500 0.0660 0.5931
0.2500 0.4340 0.5931
0.7500 0.5660 0.4069
0.7500 0.9340 0.4069
```